No. 1
A plane-wave DFT calculation with GGA-PBE was carried out for a relaxed ReH2Rh2 crystal.

Output
* DOS(E_F): 6.772 states/eV per cell
* space-group type: No. 127
* offset from the most stable computed form: 25.2 kJ/mol of atoms

abc: 6.061 6.061 2.790
angles: 90.00 90.00 90.00
Fractional positions:
1 Re 0.000 0.000 0.000
2 Re 0.500 0.500 0.000
3 H 0.216 0.284 0.000
4 H 0.284 0.784 0.000
5 H 0.716 0.216 0.000
6 H 0.784 0.716 0.000
7 Rh 0.150 0.650 0.500
8 Rh 0.350 0.150 0.500
9 Rh 0.650 0.850 0.500
10 Rh 0.850 0.350 0.500

---

No. 2
A plane-wave DFT calculation with GGA-PBE was carried out for a relaxed SmGdIn4 crystal.

Output
* DOS(E_F): 4.878 states/eV per cell
* energy of formation from the pure elements: -0.39 eV/atom
* space-group type: No. 216

abc: 6.034 6.034 6.034
angles: 60.00 60.00 60.00
Fractional positions:
1 Sm 0.000 0.000 0.000
2 Gd 0.250 0.250 0.250
3 In 0.125 0.625 0.625
4 In 0.625 0.125 0.625
5 In 0.625 0.625 0.125
6 In 0.625 0.625 0.625

---

No. 3
A plane-wave DFT calculation with GGA-PBE was carried out for a relaxed TlPbSe2 crystal.

Output
* DOS(E_F): 2.132 states/eV per cell
* space-group type: No. 160
* uncorrected formation energy: -0.22 eV/atom

abc: 8.546 8.546 8.546
angles: 28.49 28.49 28.49
Fractional positions:
1 Tl 0.000 0.000 0.000
2 Pb 0.227 0.227 0.227
3 Se 0.499 0.499 0.499
4 Se 0.722 0.722 0.722

---

No. 4
A plane-wave DFT calculation with GGA-PBE was carried out for a relaxed Nd3Tl6Br14 crystal.

Output
* DOS(E_F): 2.013 states/eV per cell
* space-group type: No. 143
* uncorrected formation energy: -1.27 eV/atom

abc: 11.235 11.235 8.180
angles: 90.00 90.00 120.00
Fractional positions:
1 Nd 0.000 0.000 0.000
2 Nd 0.333 0.667 0.514
3 Nd 0.667 0.333 0.445
4 Tl 0.123 0.251 0.382
5 Tl 0.127 0.877 0.382
6 Tl 0.509 0.489 0.904
7 Tl 0.511 0.020 0.904
8 Tl 0.749 0.873 0.382
9 Tl 0.980 0.491 0.904
10 Br 0.000 0.000 0.656
11 Br 0.084 0.543 0.316
12 Br 0.215 0.430 0.738
13 Br 0.216 0.785 0.738
14 Br 0.279 0.141 0.076
15 Br 0.416 0.207 0.605
16 Br 0.457 0.541 0.316
17 Br 0.459 0.916 0.316
18 Br 0.570 0.784 0.738
19 Br 0.667 0.333 0.102
20 Br 0.792 0.584 0.605
21 Br 0.793 0.208 0.605
22 Br 0.859 0.138 0.076
23 Br 0.862 0.721 0.076

---

Results for electronic total energy: -32.62 -32.08 -13.91 -81.04 (in eV/f.u., following the order of the records).